A relaxed structure of Ac2AsPd, computed with PBE.

DOS at the Fermi energy (states/eV per cell): 13.91
ρ (g cm⁻³): 9.3
E_tot (eV per atom): -5.363

Cell: 7.6908 7.6908 7.6908 Å, 90.00 90.00 90.00°
With the nearest neighbours (Å) after each atom.
Space group Fm-3m (No. 225)
Asymmetric unit:
1 Ac 0.2500 0.2500 0.2500 x8  4 As 3.33, 4 Pd 3.33
2 As 0.0000 0.0000 0.0000 x4  8 Ac 3.33
3 Pd 0.0000 0.0000 0.5000 x4  8 Ac 3.33